No. 1
{
  "formula": "Sr6Zn5Ga",
  "functional": "PBE",
  "state": "optimized geometry",
  "spacegroup": "P2/m, No. 10",
  "total_magnetization_mub_per_atom": 0.000,
  "rho_g_cm3": 4.27,
  "formation_enthalpy_0k_kj_per_mol_fu": -248,
  "cell": [[5.494, 0.000, 0.000], [0.000, 7.924, 0.000], [-2.754, 0.000, 8.232]],
  "species": ["Sr", "Sr", "Sr", "Sr", "Sr", "Sr", "Zn", "Zn", "Zn", "Zn", "Zn", "Ga"],
  "fractional_positions": [[0.000, 0.250, 0.000], [0.000, 0.750, 0.000], [0.334, 0.250, 0.668], [0.334, 0.750, 0.668], [0.666, 0.250, 0.332], [0.666, 0.750, 0.332], [0.163, 0.000, 0.329], [0.166, 0.500, 0.334], [0.500, 0.500, 0.000], [0.834, 0.500, 0.666], [0.837, 0.000, 0.671], [0.500, 0.000, 0.000]]
}

No. 2
{
  "formula": "Sr7Zn2Ga2",
  "functional": "PBE",
  "state": "optimized geometry",
  "spacegroup": "C2/m, No. 12",
  "total_magnetization_mub_per_atom": 0.000,
  "rho_g_cm3": 3.43,
  "formation_enthalpy_0k_kj_per_mol_fu": -63,
  "cell": [[6.315, -4.181, 0.000], [6.315, 4.181, 0.000], [-0.016, 0.000, 8.089]],
  "species": ["Sr", "Sr", "Sr", "Sr", "Sr", "Sr", "Sr", "Zn", "Zn", "Ga", "Ga"],
  "fractional_positions": [[0.000, 0.000, 0.000], [0.000, 0.499, 0.726], [0.000, 0.501, 0.274], [0.499, 0.000, 0.726], [0.500, 0.500, 0.260], [0.500, 0.500, 0.740], [0.501, 0.000, 0.274], [0.303, 0.303, 0.000], [0.697, 0.697, 0.000], [0.152, 0.848, 0.500], [0.848, 0.152, 0.500]]
}

No. 3
{
  "formula": "SrZn4Ga12",
  "functional": "PBE",
  "state": "optimized geometry",
  "spacegroup": "Im-3, No. 204",
  "total_magnetization_mub_per_atom": 0.000,
  "rho_g_cm3": 5.58,
  "formation_enthalpy_0k_kj_per_mol_fu": -6,
  "cell": [[-4.452, 4.452, 4.452], [4.452, -4.452, 4.452], [4.452, 4.452, -4.452]],
  "species": ["Sr", "Zn", "Zn", "Zn", "Zn", "Ga", "Ga", "Ga", "Ga", "Ga", "Ga", "Ga", "Ga", "Ga", "Ga", "Ga", "Ga"],
  "fractional_positions": [[0.000, 0.000, 0.000], [0.000, 0.000, 0.500], [0.000, 0.500, 0.000], [0.500, 0.000, 0.000], [0.500, 0.500, 0.500], [0.154, 0.510, 0.356], [0.154, 0.798, 0.644], [0.202, 0.356, 0.846], [0.356, 0.154, 0.510], [0.356, 0.846, 0.202], [0.490, 0.644, 0.846], [0.510, 0.356, 0.154], [0.644, 0.154, 0.798], [0.644, 0.846, 0.490], [0.798, 0.644, 0.154], [0.846, 0.202, 0.356], [0.846, 0.490, 0.644]]
}

No. 4
{
  "formula": "Sr8ZnGa2",
  "functional": "PBE",
  "state": "optimized geometry",
  "spacegroup": "Cm, No. 8",
  "total_magnetization_mub_per_atom": 0.000,
  "rho_g_cm3": 3.24,
  "formation_enthalpy_0k_kj_per_mol_fu": -127,
  "cell": [[4.992, -7.355, 0.000], [4.992, 7.355, 0.000], [-2.076, 0.000, 6.328]],
  "species": ["Sr", "Sr", "Sr", "Sr", "Sr", "Sr", "Sr", "Sr", "Zn", "Ga", "Ga"],
  "fractional_positions": [[0.000, 0.000, 0.000], [0.028, 0.294, 0.591], [0.142, 0.582, 0.192], [0.294, 0.028, 0.591], [0.437, 0.701, 0.784], [0.582, 0.142, 0.192], [0.701, 0.437, 0.784], [0.730, 0.730, 0.395], [0.362, 0.362, 0.362], [0.055, 0.684, 0.699], [0.684, 0.055, 0.699]]
}